[1]
Density functional theory data (PBE-GGA) for crystalline Si2TcBr at its relaxed geometry.

Results
Density: 5.4 g/cm³
Symmetry: Immm
D(E_F): 0.788 states/eV/atom
V: 71.5 Å³/cell
Formation energy without anion corrections: 0.581 eV/atom
Distance to the lowest polymorph of the same formula: 570 meV per atom

a b c (Å): 5.9533 5.9533 5.9533
angles (deg): 151.62 134.16 54.79
Element x y z (fractional)
Br: 0.2500 0.7500 0.5000
Si: 0.5541 0.5541 0.0000
Si: 0.9459 0.9459 0.0000
Tc: 0.7500 0.2500 0.5000



[2]
Density functional theory data (PBE-GGA) for crystalline SiTc2Br at its relaxed geometry.

Results
Density: 8.6 g/cm³
Symmetry: Fm-3m
D(E_F): 0.719 states/eV/atom
V: 58.7 Å³/cell
Formation energy without anion corrections: 0.505 eV/atom
Distance to the lowest polymorph of the same formula: 373 meV per atom

a b c (Å): 4.3617 4.3617 4.3617
angles (deg): 60.00 60.00 60.00
Element x y z (fractional)
Tc: 0.7500 0.7500 0.7500
Tc: 0.2500 0.2500 0.2500
Br: 0.5000 0.5000 0.5000
Si: 0.0000 0.0000 0.0000



[3]
Density functional theory data (PBE-GGA) for crystalline Si2TcBr at its relaxed geometry.

Results
Density: 4.9 g/cm³
Symmetry: C2/m
D(E_F): 0.455 states/eV/atom
V: 79.0 Å³/cell
Formation energy without anion corrections: 0.130 eV/atom
Distance to the lowest polymorph of the same formula: 120 meV per atom

a b c (Å): 4.3604 4.3604 8.5165
angles (deg): 131.94 131.94 44.91
Element x y z (fractional)
Si: 0.3433 0.3433 0.6123
Si: 0.1567 0.1567 0.8877
Tc: 0.7500 0.7500 0.7500
Br: 0.2500 0.2500 0.2500



[4]
Density functional theory data (PBE-GGA) for crystalline SiTcBr2 at its relaxed geometry.

Results
Density: 5.7 g/cm³
Symmetry: R-3m
D(E_F): 0.770 states/eV/atom
V: 82.6 Å³/cell
Formation energy without anion corrections: 0.646 eV/atom
Distance to the lowest polymorph of the same formula: 902 meV per atom

a b c (Å): 9.2871 9.2871 9.2871
angles (deg): 20.08 20.08 20.08
Element x y z (fractional)
Br: 0.9834 0.9834 0.9834
Br: 0.5166 0.5166 0.5166
Si: 0.7500 0.7500 0.7500
Tc: 0.2500 0.2500 0.2500